# 1
Computed, not measured: a geometry-optimized RuW5 structure at the GGA-PBE level of DFT.

a = 3.1791 Å, b = 13.3257 Å, c = 4.4943 Å
α = 90.00°, β = 90.00°, γ = 90.00°
Closest atoms and distances in Å follow each position.
Space group Cmmm (No. 65)
Symmetry-distinct sites (fractional):
Ru (0.0000, 0.0000, 0.0000) x2  8 W 2.75-2.76
W (0.0000, 0.1630, 0.5000) x4  8 W 2.69-2.81
W (0.0000, 0.3302, 0.0000) x4  6 W 2.66-2.75, 2 Ru 2.76
W (0.0000, 0.5000, 0.5000) x2  4 W 2.69, 4 Ru 2.75

Values from the calculation:
As for the formation energy from the elements: 0.11 eV/atom. The distance to the lowest polymorph of the same formula is 0.00 kJ/mol of atoms.



# 2
Computed, not measured: a geometry-optimized InSiAg structure at the GGA-PBE level of DFT.

a = 4.9798 Å, b = 4.9798 Å, c = 5.6396 Å
α = 90.00°, β = 90.00°, γ = 120.00°
Closest atoms and distances in Å follow each position.
Space group P6_3/mmc (No. 194)
Symmetry-distinct sites (fractional):
In (0.3333, 0.6667, 0.2500) x2  5 Si 2.82-2.88
Si (0.3333, 0.6667, 0.7500) x2  5 In 2.82-2.88
Ag (0.0000, 0.0000, 0.0000) x2  2 Ag 2.82

Values from the calculation:
The calculation puts the total energy at -3.293 eV/atom.



# 3
Computed, not measured: a geometry-optimized In8Ga structure at the GGA-PBE level of DFT.

a = 10.2994 Å, b = 10.2994 Å, c = 4.4603 Å
α = 90.00°, β = 90.00°, γ = 90.00°
Closest atoms and distances in Å follow each position.
Space group I4/mmm (No. 139)
Symmetry-distinct sites (fractional):
In (0.0000, 0.3307, 0.0000) x8  11 In 3.28-3.49, 1 Ga 3.41
In (0.1629, 0.1629, 0.5000) x8  2 Ga 3.26, 10 In 3.28-3.47
Ga (0.0000, 0.0000, 0.0000) x2  12 In 3.26-3.41

Values from the calculation:
As for the formation energy from the elements: 0.03 eV/atom.